No. 1
Pr6SiRu2Br3 | PBE-GGA | optimized geometry

Cell and atoms, written as extended XYZ:
```
12
Lattice="3.650 -6.332 0.000 3.650 6.332 0.000 -2.452 0.000 7.747" Properties=species:S:1:pos:R:3 pbc="T T T"
Pr -0.063 2.211 6.200
Pr 1.101 0.000 1.549
Pr -0.063 -2.211 6.200
Pr 4.912 2.211 1.547
Pr 3.748 0.000 6.198
Pr 4.912 -2.211 1.547
Si 3.650 0.000 0.000
Ru 3.650 4.221 0.000
Ru 3.650 -4.221 0.000
Br -1.226 0.000 3.874
Br 2.424 2.078 3.874
Br 2.424 -2.078 3.874
```

Output
**Calculated density**: 6.10 g/cm³
**Symmetry**: C2/m (12)
**Raw formation energy**: -0.847 eV/atom
**Total magnetic moment**: 0.000 μB/atom

=====

No. 2
PrSmRuBr | PBE-GGA | optimized geometry

Cell and atoms, written as extended XYZ:
```
4
Lattice="3.514 -2.032 0.000 3.514 2.032 0.000 -2.335 0.000 7.933" Properties=species:S:1:pos:R:3 pbc="T T T"
Pr 0.000 0.000 0.000
Sm 4.690 0.000 3.118
Ru 2.345 0.000 1.589
Br 0.007 0.000 5.452
```

Output
**Calculated density**: 6.92 g/cm³
**Symmetry**: Cm (8)
**Raw formation energy**: -0.731 eV/atom
**Total magnetic moment**: 0.000 μB/atom

=====

No. 3
Pr4TeRuBr2 | PBE-GGA | optimized geometry

Cell and atoms, written as extended XYZ:
```
8
Lattice="7.885 0.000 0.000 0.000 4.213 0.000 -2.330 0.000 7.651" Properties=species:S:1:pos:R:3 pbc="T T T"
Pr 1.125 0.000 1.564
Pr -0.135 2.106 5.962
Pr 5.689 2.106 1.690
Pr 4.429 0.000 6.087
Te -1.165 0.000 3.826
Ru 0.000 2.106 0.000
Br 3.942 0.000 0.000
Br 2.777 2.106 3.826
```

Output
**Calculated density**: 6.22 g/cm³
**Symmetry**: P2/m (10)
**Raw formation energy**: -1.035 eV/atom
**Total magnetic moment**: 0.000 μB/atom

=====

No. 4
Pr4Te2RuBr | PBE-GGA | optimized geometry

Cell and atoms, written as extended XYZ:
```
8
Lattice="7.762 0.000 0.000 0.000 4.287 0.000 -2.290 0.000 7.471" Properties=species:S:1:pos:R:3 pbc="T T T"
Pr 1.172 0.000 1.598
Pr -0.035 2.143 5.754
Pr 5.507 2.143 1.717
Pr 4.300 0.000 5.872
Te -1.145 0.000 3.735
Te 2.736 2.143 3.735
Ru 0.000 2.143 0.000
Br 3.881 0.000 0.000
```

Output
**Calculated density**: 6.68 g/cm³
**Symmetry**: P2/m (10)
**Raw formation energy**: -1.041 eV/atom
**Total magnetic moment**: 0.000 μB/atom

=====

No. 5
Pr3TeRuBr | PBE-GGA | optimized geometry

Cell and atoms, written as extended XYZ:
```
12
Lattice="8.316 0.000 0.000 0.000 4.346 0.000 -3.655 0.000 9.523" Properties=species:S:1:pos:R:3 pbc="T T T"
Pr -1.149 1.087 3.439
Pr -2.037 1.087 9.319
Pr 1.179 3.260 5.663
Pr 3.482 1.087 3.861
Pr 6.698 3.260 0.204
Pr 5.810 3.260 6.084
Te 1.110 3.260 2.140
Te 3.552 1.087 7.383
Ru -0.492 1.087 6.292
Ru 5.153 3.260 3.231
Br -0.136 3.260 8.385
Br 4.797 1.087 1.138
```

Output
**Calculated density**: 7.06 g/cm³
**Symmetry**: P2_1/m (11)
**Raw formation energy**: -0.797 eV/atom
**Total magnetic moment**: 0.000 μB/atom

=====

No. 6
Pr6TlRu2Br3 | PBE-GGA | optimized geometry

Cell and atoms, written as extended XYZ:
```
12
Lattice="3.685 -6.391 0.000 3.685 6.391 0.000 -2.456 0.000 7.915" Properties=species:S:1:pos:R:3 pbc="T T T"
Pr -0.141 2.380 6.296
Pr 0.942 0.000 1.621
Pr -0.141 -2.380 6.296
Pr 5.054 2.380 1.619
Pr 3.971 0.000 6.294
Pr 5.054 -2.380 1.619
Tl 3.685 0.000 0.000
Ru 3.685 4.264 0.000
Ru 3.685 -4.264 0.000
Br -1.228 0.000 3.957
Br 2.457 2.118 3.957
Br 2.457 -2.118 3.957
```

Output
**Calculated density**: 6.64 g/cm³
**Symmetry**: C2/m (12)
**Raw formation energy**: -0.783 eV/atom
**Total magnetic moment**: 0.000 μB/atom